(1)
The following is a DFT calculation (PBE-GGA) of crystalline Na3Mg2OsO6 at its relaxed geometry.

* spin magnetization: 3.00 μB per formula unit
* calculated volume: 11.2 Å³/atom
* formation energy without anion corrections: -1.84 eV per atom

Unit cell a=5.3530 b=5.3530 c=5.6934 alpha=99.08 beta=99.08 gamma=119.97
Last column: nearest neighbours and their distance in Å.
Positions (direct):
Na1 0.0000 0.0000 0.0000  6 O 2.37-2.48
Na2 0.3308 0.6692 0.0000  6 O 2.37-2.45
Na3 0.6692 0.3308 0.0000  6 O 2.37-2.45
Mg1 0.1665 0.8335 0.5000  6 O 2.13
Mg2 0.8335 0.1665 0.5000  6 O 2.13
Os1 0.5000 0.5000 0.5000  6 O 2.01-2.02
O1 0.1157 0.4326 0.2975  1 Os 2.02, 2 Mg 2.13
O2 0.2510 0.2510 0.7012  1 Os 2.01, 2 Mg 2.13
O3 0.4326 0.1157 0.2975  1 Os 2.02, 2 Mg 2.13
O4 0.5674 0.8843 0.7025  1 Os 2.02, 2 Mg 2.13
O5 0.7490 0.7490 0.2988  1 Os 2.01, 2 Mg 2.13
O6 0.8843 0.5674 0.7025  1 Os 2.02, 2 Mg 2.13

***

(2)
The following is a DFT calculation (PBE-GGA) of crystalline Co6Ni12Pt at its relaxed geometry.

* energy relative to the elements: 0.3591 eV/atom
* spin magnetization: 19.22 μB per formula unit
* calculated volume: 12.4 Å³/atom

Unit cell a=6.5434 b=6.5434 c=6.5434 alpha=106.63 beta=106.63 gamma=106.63
Last column: nearest neighbours and their distance in Å.
Positions (direct):
Co1 0.2888 0.6946 0.6946  8 Ni 2.33-2.50
Co2 0.3054 0.3054 0.7112  8 Ni 2.33-2.50
Co3 0.3054 0.7112 0.3054  8 Ni 2.33-2.50
Co4 0.6946 0.2888 0.6946  8 Ni 2.33-2.50
Co5 0.6946 0.6946 0.2888  8 Ni 2.33-2.50
Co6 0.7112 0.3054 0.3054  8 Ni 2.33-2.50
Ni1 0.1133 0.5000 0.8867  4 Co 2.33-2.42, 3 Ni 2.38-2.45
Ni2 0.1133 0.8867 0.5000  4 Co 2.33-2.42, 3 Ni 2.38-2.45
Ni3 0.1177 0.3550 0.3550  4 Co 2.34-2.50, 4 Ni 2.45-2.49, 1 Pt 2.50
Ni4 0.3550 0.1177 0.3550  4 Co 2.34-2.50, 4 Ni 2.45-2.49, 1 Pt 2.50
Ni5 0.3550 0.3550 0.1177  4 Co 2.34-2.50, 4 Ni 2.45-2.49, 1 Pt 2.50
Ni6 0.5000 0.1133 0.8867  4 Co 2.33-2.42, 3 Ni 2.38-2.45
Ni7 0.5000 0.8867 0.1133  4 Co 2.33-2.42, 3 Ni 2.38-2.45
Ni8 0.6450 0.6450 0.8823  4 Co 2.34-2.50, 4 Ni 2.45-2.49, 1 Pt 2.50
Ni9 0.6450 0.8823 0.6450  4 Co 2.34-2.50, 4 Ni 2.45-2.49, 1 Pt 2.50
Ni10 0.8823 0.6450 0.6450  4 Co 2.34-2.50, 4 Ni 2.45-2.49, 1 Pt 2.50
Ni11 0.8867 0.1133 0.5000  4 Co 2.33-2.42, 3 Ni 2.38-2.45
Ni12 0.8867 0.5000 0.1133  4 Co 2.33-2.42, 3 Ni 2.38-2.45
Pt1 0.0000 0.0000 0.0000  6 Ni 2.50

***

(3)
The following is a DFT calculation (PBE-GGA) of crystalline UPt4Rh at its relaxed geometry.

* energy relative to the elements: -0.5180 eV/atom
* spin magnetization: 0.38 μB per formula unit
* calculated volume: 16.8 Å³/atom

Unit cell a=5.0574 b=5.0574 c=4.9443 alpha=101.05 beta=101.05 gamma=120.10
Last column: nearest neighbours and their distance in Å.
Positions (direct):
U1 0.0000 0.0000 0.0000  2 Rh 2.77, 10 Pt 2.88-2.94
Pt1 0.1690 0.8310 0.5000  7 Pt 2.77-2.96, 2 U 2.88, 3 Rh 2.90-2.93
Pt2 0.3355 0.6645 0.0000  7 Pt 2.77-2.94, 2 Rh 2.86, 3 U 2.91-2.94
Pt3 0.6645 0.3355 0.0000  7 Pt 2.77-2.94, 2 Rh 2.86, 3 U 2.91-2.94
Pt4 0.8310 0.1690 0.5000  7 Pt 2.77-2.96, 2 U 2.88, 3 Rh 2.90-2.93
Rh1 0.5000 0.5000 0.5000  2 U 2.77, 10 Pt 2.86-2.93

***

(4)
The following is a DFT calculation (PBE-GGA) of crystalline ZnPt4Rh2 at its relaxed geometry.

* energy relative to the elements: 0.0209 eV/atom
* spin magnetization: 0.00 μB per formula unit
* calculated volume: 15.9 Å³/atom

Unit cell a=4.3307 b=4.3307 c=13.2022 alpha=90.00 beta=90.00 gamma=116.12
Last column: nearest neighbours and their distance in Å.
Positions (direct):
Zn1 0.0690 0.9310 0.7500  5 Pt 2.53-2.76
Zn2 0.9310 0.0690 0.2500  5 Pt 2.53-2.76
Pt1 0.0000 0.0000 0.0000  6 Rh 2.59-2.66, 2 Pt 2.73
Pt2 0.0000 0.0000 0.5000  6 Rh 2.59-2.66, 2 Pt 2.73
Pt3 0.2587 0.7413 0.1480  5 Pt 2.69-2.94, 3 Rh 2.70-2.72, 3 Zn 2.76-2.94
Pt4 0.2587 0.7413 0.3520  5 Pt 2.69-2.94, 3 Rh 2.70-2.72, 3 Zn 2.76-2.94
Pt5 0.4129 0.5871 0.7500  3 Zn 2.53-2.56, 2 Rh 2.68, 2 Pt 2.76
Pt6 0.5871 0.4129 0.2500  3 Zn 2.53-2.56, 2 Rh 2.68, 2 Pt 2.76
Pt7 0.7413 0.2587 0.6480  5 Pt 2.69-2.94, 3 Rh 2.70-2.72, 3 Zn 2.76-2.94
Pt8 0.7413 0.2587 0.8520  5 Pt 2.69-2.94, 3 Rh 2.70-2.72, 3 Zn 2.76-2.94
Rh1 0.3399 0.6601 0.5513  7 Pt 2.59-2.72, 1 Rh 2.72
Rh2 0.3399 0.6601 0.9487  7 Pt 2.59-2.72, 1 Rh 2.72
Rh3 0.6601 0.3399 0.0513  7 Pt 2.59-2.72, 1 Rh 2.72
Rh4 0.6601 0.3399 0.4487  7 Pt 2.59-2.72, 1 Rh 2.72